{
  "formula": "LaGaMoF2",
  "functional": "PBE+U",
  "state": "relaxed",
  "crystal_system": "tetragonal",
  "vol_a3_per_fu": 142.8,
  "n_ef_per_ev_fu": 2.811,
  "energy_ev_per_atom": -5.19,
  "space_group": "No. 123",
  "lattice_angstrom": [[4.476, 0.000, 0.000], [0.000, 4.476, 0.000], [0.000, 0.000, 7.128]],
  "species": ["La", "Ga", "Mo", "F", "F"],
  "fractional_positions": [[0.000, 0.000, 0.000], [0.500, 0.500, 0.500], [0.000, 0.000, 0.500], [0.000, 0.500, 0.000], [0.500, 0.000, 0.000]]
}